1.
AcZn2Ag2 | PBE | optimized geometry

abc: 4.8015 4.8015 5.8928
angles: 112.55 112.55 93.36
Last column: nearest neighbours and their distance in Å.
Fractional coordinates of all 5 atoms:
Ag1 0.7500 0.2500 0.5000  4 Zn 2.68
Ag2 0.2500 0.7500 0.5000  4 Zn 2.68
Zn1 0.6279 0.6279 0.2558  1 Zn 2.50, 4 Ag 2.68
Zn2 0.3721 0.3721 0.7442  1 Zn 2.50, 4 Ag 2.68
Ac1 0.0000 0.0000 0.0000  8 Ag 3.43, 10 Zn 3.52-3.71

Computed properties:
Space-group type: Fmmm
Mass density in g/cm3: 8.47
Magnetization in μB per cell: 0.00
E_form in eV/atom: -0.243

2.
Ac4ZnAg3 | PBE | optimized geometry

abc: 4.2602 4.9672 11.9467
angles: 90.00 90.00 90.00
Last column: nearest neighbours and their distance in Å.
Fractional coordinates of all 8 atoms:
Ag1 0.0000 0.0000 0.4260  2 Ag 3.05, 7 Ac 3.35-3.39
Ag2 0.0000 0.5000 0.5744  2 Ag 3.05, 7 Ac 3.37-3.39
Ag3 0.5000 0.0000 0.9286  2 Zn 3.03, 6 Ac 3.32-3.38
Ac1 0.0000 0.5000 0.8578  2 Zn 3.34, 5 Ag 3.38-3.39
Ac2 0.5000 0.5000 0.3557  6 Ag 3.37-3.38, 1 Zn 3.38
Ac3 0.0000 0.0000 0.1421  3 Ag 3.32-3.39, 4 Zn 3.37
Ac4 0.5000 0.0000 0.6423  7 Ag 3.35-3.42
Zn1 0.5000 0.5000 0.0732  2 Ag 3.03, 7 Ac 3.34-3.38

Computed properties:
Space-group type: Pmm2
Mass density in g/cm3: 8.52
Magnetization in μB per cell: 0.00
E_form in eV/atom: -0.253

3.
Ac3Zn3Ag2 | PBE | optimized geometry

abc: 4.8392 6.1298 15.9075
angles: 90.00 90.00 113.25
Last column: nearest neighbours and their distance in Å.
Fractional coordinates of all 16 atoms:
Ac1 0.8962 0.7924 0.3978  7 Zn 3.33-3.51, 4 Ag 3.34-3.39
Ac2 0.1038 0.2076 0.8978  7 Zn 3.33-3.51, 4 Ag 3.34-3.39
Ac3 0.3816 0.7633 0.7500  5 Zn 3.27-3.38, 4 Ag 3.48
Ac4 0.6184 0.2367 0.2500  5 Zn 3.27-3.38, 4 Ag 3.48
Ac5 0.8962 0.7924 0.1022  7 Zn 3.33-3.51, 4 Ag 3.34-3.39
Ac6 0.1038 0.2076 0.6022  7 Zn 3.33-3.51, 4 Ag 3.34-3.39
Ag1 0.1924 0.3849 0.1016  3 Zn 2.78-2.81
Ag2 0.8076 0.6151 0.6016  3 Zn 2.78-2.81
Ag3 0.1924 0.3849 0.3984  3 Zn 2.78-2.81
Ag4 0.8076 0.6151 0.8984  3 Zn 2.78-2.81
Zn1 0.6724 0.3448 0.7500  2 Ag 2.81
Zn2 0.3276 0.6552 0.2500  2 Ag 2.81
Zn3 0.6046 0.2092 0.0416  1 Zn 2.70, 2 Ag 2.78
Zn4 0.3954 0.7908 0.9584  1 Zn 2.70, 2 Ag 2.78
Zn5 0.3954 0.7908 0.5416  1 Zn 2.70, 2 Ag 2.78
Zn6 0.6046 0.2092 0.4584  1 Zn 2.70, 2 Ag 2.78

Computed properties:
Space-group type: Cmcm
Mass density in g/cm3: 8.37
Magnetization in μB per cell: 0.00
E_form in eV/atom: -0.283

4.
Ac3Zn8Ag | PBE | optimized geometry

abc: 5.8612 5.8612 8.9635
angles: 90.00 90.00 120.00
Last column: nearest neighbours and their distance in Å.
Fractional coordinates of all 12 atoms:
Ac1 0.6667 0.3333 0.4646  12 Zn 3.16-3.48, 3 Ag 3.44
Ac2 0.6667 0.3333 0.0608  12 Zn 3.31-3.41, 4 Ac 3.62-3.64
Ac3 0.0000 0.0000 0.9115  12 Zn 3.26-3.51, 1 Ag 3.41, 3 Ac 3.64
Ag1 0.0000 0.0000 0.5309  3 Zn 2.96
Zn1 0.1604 0.8396 0.2547  6 Zn 2.77-3.04, 1 Ag 2.96
Zn2 0.1604 0.3208 0.2547  6 Zn 2.77-3.04, 1 Ag 2.96
Zn3 0.4869 0.5131 0.7523  4 Zn 2.70-2.83
Zn4 0.4869 0.9738 0.7523  4 Zn 2.70-2.83
Zn5 0.3333 0.6667 0.4951  6 Zn 2.78
Zn6 0.0262 0.5131 0.7523  4 Zn 2.70-2.83
Zn7 0.3333 0.6667 0.0160  6 Zn 2.77-2.83
Zn8 0.6792 0.8396 0.2547  6 Zn 2.77-3.04, 1 Ag 2.96

Computed properties:
Space-group type: P3m1
Mass density in g/cm3: 8.17
Magnetization in μB per cell: 0.00
E_form in eV/atom: -0.169

5.
AcZnAg | PBE | optimized geometry

abc: 4.7760 6.2238 6.2305
angles: 79.57 67.46 67.44
Last column: nearest neighbours and their distance in Å.
Fractional coordinates of all 6 atoms:
Ac1 0.5018 0.2517 0.7446  6 Ag 3.37-3.42, 6 Zn 3.40-3.43
Ac2 0.4982 0.7483 0.2554  6 Ag 3.37-3.42, 6 Zn 3.40-3.43
Ag1 0.1747 0.3276 0.3229  2 Zn 2.75, 1 Ag 2.90
Ag2 0.8253 0.6724 0.6771  2 Zn 2.75, 1 Ag 2.90
Zn1 0.1608 0.8367 0.8416  1 Zn 2.67, 2 Ag 2.75
Zn2 0.8392 0.1633 0.1584  1 Zn 2.67, 2 Ag 2.75

Computed properties:
Space-group type: C2/m
Mass density in g/cm3: 8.42
Magnetization in μB per cell: 0.00
E_form in eV/atom: -0.310

6.
Ac3Zn9Ag2 | PBE | optimized geometry

abc: 4.6632 8.6675 8.6675
angles: 64.81 74.39 74.39
Last column: nearest neighbours and their distance in Å.
Fractional coordinates of all 14 atoms:
Zn1 0.8656 0.4184 0.8505  4 Zn 2.71-2.90, 2 Ag 2.99
Zn2 0.8656 0.8505 0.4184  4 Zn 2.71-2.90, 2 Ag 2.99
Zn3 0.1344 0.5816 0.1495  4 Zn 2.71-2.90, 2 Ag 2.99
Zn4 0.0000 0.5000 0.5000  4 Zn 2.74, 4 Ag 2.96
Zn5 0.6625 0.9797 0.6953  4 Zn 2.64-2.90, 1 Ag 2.71
Zn6 0.3375 0.3047 0.0203  4 Zn 2.64-2.90, 1 Ag 2.71
Zn7 0.3375 0.0203 0.3047  4 Zn 2.64-2.90, 1 Ag 2.71
Zn8 0.1344 0.1495 0.5816  4 Zn 2.71-2.90, 2 Ag 2.99
Zn9 0.6625 0.6953 0.9797  4 Zn 2.64-2.90, 1 Ag 2.71
Ac1 0.2980 0.7020 0.7020  12 Zn 3.22-3.48, 2 Ag 3.34
Ac2 0.7020 0.2980 0.2980  12 Zn 3.22-3.48, 2 Ag 3.34
Ac3 0.0000 0.0000 0.0000  12 Zn 3.23-3.50
Ag1 0.5000 0.3040 0.6960  8 Zn 2.71-2.99
Ag2 0.5000 0.6960 0.3040  8 Zn 2.71-2.99

Computed properties:
Space-group type: Immm
Mass density in g/cm3: 8.21
Magnetization in μB per cell: 0.00
E_form in eV/atom: -0.270

Which formula does entry 4 have?
Ac3Zn8Ag

Which value of E_form does entry 6 give?
-0.270 eV/atom